Entry from the Alexandria database: crystalline BaLaCl2 at its relaxed geometry (PBE).

Summary:
The value obtained for the energy above the most stable polymorph in this dataset is 0.89 eV per formula unit. For the density, the calculation gives 4.05 g cm⁻³. The raw formation energy comes out at -1375 meV/atom. The value obtained for the density of states at the Fermi level is 0.96 states/eV per atom.

Cell: 4.2738 4.2738 15.5929 Å, 90.00 90.00 90.00°
Space group I-4m2 (No. 119)
Asymmetric unit:
Ba (0.0000, 0.0000, 0.0000)
La (0.0000, 0.5000, 0.2500)
Cl (0.0000, 0.0000, 0.5000)
Cl (0.0000, 0.5000, 0.7500)